[1]
Material: SbIr2Pt
Method: DFT, PBE
State: optimized geometry

Cell lengths 2.9635, 2.9635, 7.7073 Å; angles 90.00, 90.00, 90.00 degrees
Last column: nearest neighbours and their distance in Å.
Space group P4mm (No. 99)
Symmetry-distinct sites (fractional):
Sb1 0.0000 0.0000 0.0000  4 Ir 2.92, 4 Sb 2.96, 4 Pt 2.96
Ir1 0.0000 0.0000 0.4863  8 Ir 2.70-2.96, 4 Pt 2.80
Ir2 0.5000 0.5000 0.2644  8 Ir 2.70-2.96, 4 Sb 2.92
Pt1 0.5000 0.5000 0.7280  4 Ir 2.80, 4 Pt 2.96, 4 Sb 2.96

Values from the calculation:
Magnetization ... 0.0 μB/cell


[2]
Material: SbIrPt
Method: DFT, PBE
State: optimized geometry

Cell lengths 4.2323, 4.2323, 3.5394 Å; angles 90.00, 90.00, 120.00 degrees
Last column: nearest neighbours and their distance in Å.
Space group P3m1 (No. 156)
Symmetry-distinct sites (fractional):
Sb1 0.0000 0.0000 0.0000  3 Ir 2.58, 3 Pt 2.69
Ir1 0.6667 0.3333 0.2311  3 Sb 2.58
Pt1 0.3333 0.6667 0.6806  3 Sb 2.69, 3 Ir 2.92

Values from the calculation:
Energy above the lowest structure with this stoichiometry ... 78.1 meV/atom
Magnetization ... 0.0 μB/cell


[3]
Material: Sb3IrPt
Method: DFT, PBE
State: optimized geometry

Cell lengths 5.0999, 5.0999, 5.0999 Å; angles 90.00, 90.00, 90.00 degrees
Last column: nearest neighbours and their distance in Å.
Space group Pm-3m (No. 221)
Symmetry-distinct sites (fractional):
Sb1 0.0000 0.0000 0.5000  2 Ir 2.55
Ir1 0.0000 0.0000 0.0000  6 Sb 2.55
Pt1 0.5000 0.5000 0.5000  12 Sb 3.61

Values from the calculation:
Energy above the lowest structure with this stoichiometry ... 0.0 meV/atom
Magnetization ... 0.0 μB/cell


[4]
Material: SbIr2Pt
Method: DFT, PBE
State: optimized geometry

Cell lengths 2.8662, 5.0416, 9.4223 Å; angles 90.00, 90.00, 90.00 degrees
Last column: nearest neighbours and their distance in Å.
Space group Cmmm (No. 65)
Symmetry-distinct sites (fractional):
Sb1 0.0000 0.0000 0.0000  4 Ir 2.81, 6 Sb 2.87-2.90
Ir1 0.0000 0.5000 0.2562  2 Pt 2.71, 2 Sb 2.81, 6 Ir 2.87-2.90
Pt1 0.0000 0.0000 0.5000  4 Ir 2.71, 6 Pt 2.87-2.90

Values from the calculation:
Magnetization ... 0.0 μB/cell


[5]
Material: SbIrPt
Method: DFT, PBE
State: optimized geometry

Cell lengths 3.9204, 3.9204, 10.2114 Å; angles 90.00, 90.00, 120.00 degrees
Last column: nearest neighbours and their distance in Å.
Space group P-3m1 (No. 164)
Symmetry-distinct sites (fractional):
Sb1 0.3333 0.6667 0.3429  3 Ir 2.64, 1 Pt 2.80
Ir1 0.3333 0.6667 0.7910  3 Sb 2.64, 4 Pt 2.68-2.83
Pt1 0.3333 0.6667 0.0685  3 Pt 2.66, 4 Ir 2.68-2.83, 1 Sb 2.80

Values from the calculation:
Energy above the lowest structure with this stoichiometry ... 212.4 meV/atom
Magnetization ... 0.0 μB/cell


[6]
Material: SbIr2Pt
Method: DFT, PBE
State: optimized geometry

Cell lengths 3.0021, 3.0021, 25.6956 Å; angles 90.00, 90.00, 120.00 degrees
Last column: nearest neighbours and their distance in Å.
Space group R-3m (No. 166, hexagonal axes)
Symmetry-distinct sites (fractional):
Sb1 0.0000 0.0000 0.0000  6 Ir 2.69, 6 Sb 3.00
Ir1 0.0000 0.0000 0.2534  3 Sb 2.69, 3 Pt 2.82, 6 Ir 3.00
Pt1 0.0000 0.0000 0.5000  6 Ir 2.82, 6 Pt 3.00

Values from the calculation:
Magnetization ... 0.0 μB/cell


[7]
Material: SbIr2Pt
Method: DFT, PBE
State: optimized geometry

Cell lengths 2.9552, 2.9552, 26.7363 Å; angles 90.00, 90.00, 120.00 degrees
Last column: nearest neighbours and their distance in Å.
Space group R3m (No. 160, hexagonal axes)
Symmetry-distinct sites (fractional):
Sb1 0.0000 0.0000 0.0000  3 Ir 2.85, 3 Pt 2.90, 6 Sb 2.96
Ir1 0.0000 0.0000 0.2480  9 Ir 2.69-2.96, 3 Sb 2.85
Ir2 0.0000 0.0000 0.5033  9 Ir 2.69-2.96, 3 Pt 2.79
Pt1 0.0000 0.0000 0.7542  3 Ir 2.79, 3 Sb 2.90, 6 Pt 2.96

Values from the calculation:
Magnetization ... 0.0 μB/cell


[8]
Material: SbIr2Pt
Method: DFT, PBE
State: optimized geometry

Cell lengths 4.0435, 4.0435, 8.0081 Å; angles 90.00, 90.00, 90.00 degrees
Last column: nearest neighbours and their distance in Å.
Space group I-4m2 (No. 119)
Symmetry-distinct sites (fractional):
Sb1 0.0000 0.0000 0.0000  8 Ir 2.85-2.86, 4 Pt 2.85
Ir1 0.0000 0.0000 0.5000  4 Ir 2.85, 4 Pt 2.85, 4 Sb 2.86
Ir2 0.0000 0.5000 0.7500  4 Sb 2.85, 4 Ir 2.85, 4 Pt 2.86
Pt1 0.0000 0.5000 0.2500  4 Sb 2.85, 8 Ir 2.85-2.86

Values from the calculation:
Magnetization ... 0.0 μB/cell


Number 1: raw formation energy 0.2830 eV/atom, final energy -6.688 eV per atom. Number 2: raw formation energy 0.0801 eV/atom, final energy -6.261 eV per atom. Number 3: raw formation energy 0.6905 eV/atom, final energy -4.763 eV per atom. Number 4: raw formation energy 0.5181 eV/atom, final energy -6.453 eV per atom. Number 5: raw formation energy 0.2145 eV/atom, final energy -6.127 eV per atom. Number 6: raw formation energy 0.3291 eV/atom, final energy -6.642 eV per atom. Number 7: raw formation energy 0.3486 eV/atom, final energy -6.623 eV per atom. Number 8: raw formation energy 0.2175 eV/atom, final energy -6.754 eV per atom.